Model i:
Below is a relaxed structure of TbHoHgAu, with properties calculated at the PBE-GGA level.

The structure in extended XYZ format:
```
4
Lattice="3.669 0.000 0.000 0.000 3.669 0.000 0.000 0.000 7.283" Properties=species:S:1:pos:R:3 pbc="T T T"
Tb 0.000 0.000 0.000
Ho 0.000 0.000 3.800
Hg 1.835 1.835 1.924
Au 1.835 1.835 5.501
```

## Properties
DOS(E_F) ... 0.713 states/eV/atom
Total magnetic moment ... 0.00 Bohr magnetons per cell


Model ii:
Below is a relaxed structure of TbHoHgAu, with properties calculated at the PBE-GGA level.

The structure in extended XYZ format:
```
4
Lattice="0.000 3.660 3.660 3.660 0.000 3.660 3.660 3.660 0.000" Properties=species:S:1:pos:R:3 pbc="T T T"
Tb 0.000 0.000 0.000
Ho 3.660 3.660 3.660
Hg 1.830 1.830 1.830
Au 5.490 5.490 5.490
```

## Properties
DOS(E_F) ... 0.877 states/eV/atom
Total magnetic moment ... 0.00 Bohr magnetons per cell


model i is preferred energetically. Next in line: 13 meV per atom higher.


Model i:
Below is a relaxed structure of Hg2Au2I, with properties calculated at the PBE-GGA level.

The structure in extended XYZ format:
```
5
Lattice="-1.970 1.970 8.391 1.970 -1.970 8.391 1.970 1.970 -8.391" Properties=species:S:1:pos:R:3 pbc="T T T"
Hg 0.000 0.000 1.934
Hg 0.000 0.000 14.849
Au 1.970 0.000 4.196
Au 0.000 1.970 4.196
I 0.000 0.000 8.391
```

## Properties
DOS(E_F) ... 0.432 states/eV/atom
Total magnetic moment ... 0.00 Bohr magnetons per cell


Model ii:
Below is a relaxed structure of Hg2Au2I, with properties calculated at the PBE-GGA level.

The structure in extended XYZ format:
```
10
Lattice="9.330 0.000 0.000 0.000 9.330 0.000 0.000 0.000 2.895" Properties=species:S:1:pos:R:3 pbc="T T T"
Hg 1.813 2.851 0.000
Hg 2.851 7.516 0.000
Hg 6.478 1.813 0.000
Hg 7.516 6.478 0.000
Au 0.983 5.648 1.448
Au 3.682 0.983 1.448
Au 5.648 8.347 1.448
Au 8.347 3.682 1.448
I 0.000 0.000 0.000
I 4.665 4.665 0.000
```

## Properties
DOS(E_F) ... 0.297 states/eV/atom
Total magnetic moment ... 0.00 Bohr magnetons per cell


model i is preferred energetically. Next in line: 74 meV per atom higher.


Model i:
Below is a relaxed structure of Hg3AuI, with properties calculated at the PBE-GGA level.

The structure in extended XYZ format:
```
5
Lattice="5.462 0.000 0.000 0.000 5.462 0.000 0.000 0.000 5.462" Properties=species:S:1:pos:R:3 pbc="T T T"
Hg 0.000 0.000 2.731
Hg 0.000 2.731 0.000
Hg 2.731 0.000 0.000
Au 0.000 0.000 0.000
I 2.731 2.731 2.731
```

## Properties
DOS(E_F) ... 0.225 states/eV/atom
Total magnetic moment ... 0.00 Bohr magnetons per cell


Model ii:
Below is a relaxed structure of Hg3AuI, with properties calculated at the PBE-GGA level.

The structure in extended XYZ format:
```
5
Lattice="6.060 0.000 0.000 0.000 6.060 0.000 0.000 0.000 6.060" Properties=species:S:1:pos:R:3 pbc="T T T"
Hg 0.000 0.000 3.030
Hg 0.000 3.030 0.000
Hg 3.030 0.000 0.000
Au 3.030 3.030 3.030
I 0.000 0.000 0.000
```

## Properties
DOS(E_F) ... 0.945 states/eV/atom
Total magnetic moment ... 0.00 Bohr magnetons per cell


model i is preferred energetically. Next in line: 681 meV per atom higher.